Record 1
Cs3IrCl SCAN PBEsol geometry; formation energy (no corrections) = -3.515 kcal/mol of atoms; final energy = -193.27 eV per cell; total magnetic moment = 0.00 μB per cell; space-group type = Pm-3m, No. 221
1.0
5.9673 0.0000 0.0000
0.0000 5.9673 0.0000
0.0000 0.0000 5.9673
Cs Ir Cl
3 1 1
direct
0.0000 0.5000 0.0000
0.5000 0.0000 0.0000
0.0000 0.0000 0.5000
0.0000 0.0000 0.0000
0.5000 0.5000 0.5000

***

Record 2
CsPIrCl2 SCAN PBEsol geometry; formation energy (no corrections) = -13.755 kcal/mol of atoms; final energy = -138.25 eV per cell; total magnetic moment = 0.00 μB per cell; space-group type = P4/mmm, No. 123
1.0
4.4048 0.0000 0.0000
0.0000 5.2394 0.0000
0.0000 0.0000 5.2394
Cs P Ir Cl
1 1 1 2
direct
0.5000 0.5000 0.5000
0.5000 0.0000 0.0000
0.0000 0.0000 0.0000
0.0000 0.0000 0.5000
0.0000 0.5000 0.0000

***

Record 3
Cs3KCl SCAN PBEsol geometry; formation energy (no corrections) = -19.511 kcal/mol of atoms; final energy = -133.97 eV per cell; total magnetic moment = 0.23 μB per cell; space-group type = Pm-3m, No. 221
1.0
-6.3631 -1.1985 -2.6426
1.3058 -6.8704 -0.0281
-2.5913 -0.5190 6.4749
Cs Cl K
3 1 1
direct
0.0000 0.0000 0.5000
0.5000 0.0000 0.0000
0.0000 0.5000 0.0000
0.0000 0.0000 0.0000
0.5000 0.5000 0.5000

***

Record 4
CsK2Cl2 SCAN PBEsol geometry; formation energy (no corrections) = -37.669 kcal/mol of atoms; final energy = -78.59 eV per cell; total magnetic moment = 0.05 μB per cell; space-group type = I4/mmm, No. 139
1.0
5.8815 0.0000 0.0000
0.0000 5.8815 0.0000
-2.9408 -2.9408 8.3702
Cl Cs K
2 1 2
direct
0.7987 0.7987 0.5974
0.2013 0.2013 0.4026
0.0000 0.0000 0.0000
0.7500 0.2500 0.5000
0.2500 0.7500 0.5000

***

Record 5
Cs2KLaCl6 SCAN PBEsol geometry; formation energy (no corrections) = -55.549 kcal/mol of atoms; final energy = -199.01 eV per cell; total magnetic moment = 0.00 μB per cell; space-group type = Fm-3m, No. 225
1.0
-5.9214 -1.3558 -5.2593
1.6778 -0.8229 -7.8147
-0.6792 -7.1913 -3.5193
La Cl Cs K
1 6 2 1
direct
0.0000 0.0000 0.0000
0.7591 0.2409 0.7591
0.7591 0.2409 0.2409
0.2409 0.7591 0.2409
0.2409 0.7591 0.7591
0.2409 0.2409 0.7591
0.7591 0.7591 0.2409
0.7500 0.7500 0.7500
0.2500 0.2500 0.2500
0.5000 0.5000 0.5000

***

Record 6
CsK2Mn3P4ClO14 SCAN PBEsol geometry; formation energy (no corrections) = -56.590 kcal/mol of atoms; final energy = -614.79 eV per cell; total magnetic moment = 30.00 μB per cell; space-group type = P2/c, No. 13
1.0
-4.7720 -0.0114 -2.4228
-2.9859 -3.7497 5.8988
-2.7784 17.8681 5.3883
P O Mn K Cs Cl
8 28 6 4 2 2
direct
0.7174 0.2111 0.5994
0.6846 0.4036 0.8727
0.3154 0.4036 0.3727
0.7174 0.7889 0.9006
0.3154 0.5964 0.1273
0.6846 0.5964 0.6273
0.2826 0.7889 0.4006
0.2826 0.2111 0.0994
0.4148 0.5981 0.6001
0.5042 0.7879 0.4518
0.6976 0.9276 0.8530
0.9665 0.7981 0.9414
0.3024 0.0724 0.1470
0.9665 0.2019 0.5586
0.0335 0.7981 0.4414
0.5042 0.2121 0.0482
0.5852 0.4019 0.3999
0.8748 0.5912 0.5647
0.4958 0.7879 0.9518
0.2571 0.7330 0.1938
0.2814 0.5942 0.3456
0.4148 0.4019 0.8999
0.2571 0.2670 0.3062
0.3024 0.9276 0.3530
0.7429 0.7330 0.6938
0.7186 0.5942 0.8456
0.1252 0.5912 0.0647
0.8748 0.4088 0.9353
0.6976 0.0724 0.6470
0.1252 0.4088 0.4353
0.7186 0.4058 0.6544
0.2814 0.4058 0.1544
0.5852 0.5981 0.1001
0.0335 0.2019 0.0586
0.4958 0.2121 0.5482
0.7429 0.2670 0.8062
0.2125 0.3923 0.5404
0.2911 0.0000 0.2500
0.7875 0.6077 0.4596
0.2125 0.6077 0.9596
0.7089 0.0000 0.7500
0.7875 0.3923 0.0404
0.7801 0.9149 0.0853
0.7801 0.0851 0.4147
0.2199 0.0851 0.9147
0.2199 0.9149 0.5853
0.1994 0.5000 0.7500
0.8006 0.5000 0.2500
0.7793 0.0000 0.2500
0.2207 0.0000 0.7500

***

Record 7
Cs2KMoCl6 SCAN PBEsol geometry; formation energy (no corrections) = -42.418 kcal/mol of atoms; final energy = -185.10 eV per cell; total magnetic moment = 3.00 μB per cell; space-group type = Fm-3m, No. 225
1.0
7.5610 0.0000 0.0000
3.7805 6.5480 0.0000
3.7805 2.1827 6.1735
Cs Cl Mo K
2 6 1 1
direct
0.2500 0.2500 0.2500
0.7500 0.7500 0.7500
0.2261 0.7739 0.7739
0.7739 0.2261 0.2261
0.7739 0.2261 0.7739
0.2261 0.2261 0.7739
0.2261 0.7739 0.2261
0.7739 0.7739 0.2261
0.0000 0.0000 0.0000
0.5000 0.5000 0.5000

***

Record 8
CsKP2Cl SCAN PBEsol geometry; formation energy (no corrections) = 7.762 kcal/mol of atoms; final energy = -73.23 eV per cell; total magnetic moment = 5.00 μB per cell; space-group type = P4/mmm, No. 123
1.0
-5.8829 2.3363 1.5059
-2.6166 -5.8441 -1.1551
0.9125 -1.6053 6.0551
K P Cs Cl
1 2 1 1
direct
0.5000 0.5000 0.5000
0.0000 0.5000 0.0000
0.5000 0.0000 0.0000
0.0000 0.0000 0.0000
0.0000 0.0000 0.5000

***

Record 9
Cs2KPrCl6 SCAN PBEsol geometry; formation energy (no corrections) = -54.769 kcal/mol of atoms; final energy = -198.89 eV per cell; total magnetic moment = 0.00 μB per cell; space-group type = Fm-3m, No. 225
1.0
8.0001 0.0000 0.0000
4.0000 6.9282 0.0000
4.0000 2.3094 6.5320
Cl K Cs Pr
6 1 2 1
direct
0.2400 0.7600 0.2400
0.2400 0.7600 0.7600
0.2400 0.2400 0.7600
0.7600 0.7600 0.2400
0.7600 0.2400 0.7600
0.7600 0.2400 0.2400
0.5000 0.5000 0.5000
0.7500 0.7500 0.7500
0.2500 0.2500 0.2500
0.0000 0.0000 0.0000

***

Record 10
Cs2KTbCl6 SCAN PBEsol geometry; formation energy (no corrections) = -55.460 kcal/mol of atoms; final energy = -202.63 eV per cell; total magnetic moment = 0.00 μB per cell; space-group type = Fm-3m, No. 225
1.0
7.8516 0.0000 0.0000
3.9258 6.7996 0.0000
3.9258 2.2665 6.4108
Cl K Cs Tb
6 1 2 1
direct
0.7647 0.2353 0.2353
0.2353 0.7647 0.2353
0.2353 0.7647 0.7647
0.7647 0.7647 0.2353
0.2353 0.2353 0.7647
0.7647 0.2353 0.7647
0.5000 0.5000 0.5000
0.2500 0.2500 0.2500
0.7500 0.7500 0.7500
0.0000 0.0000 0.0000

***

Record 11
Cs2KTlCl6 SCAN PBEsol geometry; formation energy (no corrections) = -38.805 kcal/mol of atoms; final energy = -221.00 eV per cell; total magnetic moment = 0.00 μB per cell; space-group type = Fm-3m, No. 225
1.0
-7.7005 -1.0560 -0.1127
-3.2590 -4.2435 -5.6388
-2.9889 -6.9885 1.6287
Cl Cs Tl K
6 2 1 1
direct
0.7343 0.2657 0.7343
0.7343 0.7343 0.2657
0.2657 0.2657 0.7343
0.2657 0.7343 0.7343
0.2657 0.7343 0.2657
0.7343 0.2657 0.2657
0.7500 0.7500 0.7500
0.2500 0.2500 0.2500
0.5000 0.5000 0.5000
0.0000 0.0000 0.0000

***

Record 12
Cs3LaCl6 SCAN PBEsol geometry; formation energy (no corrections) = -54.352 kcal/mol of atoms; final energy = -227.97 eV per cell; total magnetic moment = 0.00 μB per cell; space-group type = Fm-3m, No. 225
1.0
-0.5656 7.4646 -3.8493
1.5766 0.6135 -8.2459
-6.2926 1.4905 -5.3887
Cl Cs La
6 3 1
direct
0.2303 0.7697 0.2303
0.7697 0.2303 0.2303
0.7697 0.2303 0.7697
0.7697 0.7697 0.2303
0.2303 0.7697 0.7697
0.2303 0.2303 0.7697
0.5000 0.5000 0.5000
0.2500 0.2500 0.2500
0.7500 0.7500 0.7500
0.0000 0.0000 0.0000